Entry 1:
The following is a DFT calculation (PBEsol) of Y2AlZn after structural relaxation.

```
Y2AlZn
1.0
0.000 3.548 3.548
3.548 0.000 3.548
3.548 3.548 0.000
Y Al Zn
2 1 1
Direct
0.250 0.250 0.250 Y
0.750 0.750 0.750 Y
0.000 0.000 0.000 Al
0.500 0.500 0.500 Zn
```

E_tot: -5.2359 eV/atom
formation enthalpy at 0 K: -406 meV per atom
energy above the lowest structure with this stoichiometry: 0.02 eV per formula unit
SG: Fm-3m
M_tot: 0.0 μB per cell


Entry 2:
The following is a DFT calculation (PBEsol) of Y2AlZn after structural relaxation.

```
Y2AlZn
1.0
4.386 0.000 0.000
0.000 1.855 5.697
0.000 -1.855 5.697
Y Al Zn
2 1 1
Direct
0.000 0.000 0.000 Y
0.500 0.306 0.306 Y
0.500 0.587 0.587 Al
0.000 0.721 0.721 Zn
```

E_tot: -5.1937 eV/atom
formation enthalpy at 0 K: -364 meV per atom
energy above the lowest structure with this stoichiometry: 0.19 eV per formula unit
SG: Amm2
M_tot: 0.0 μB per cell